(A)
A geometry-optimized HgOsRu structure. Source: the Alexandria database, functional PBE-GGA.

Cell: 4.3035 4.3035 4.3035 Å, 60.00 60.00 60.00°
Closest atoms and distances in Å follow each position.
Positions (direct):
Ru: 0.7500 0.7500 0.7500  4 Hg 2.64, 4 Os 2.64
Hg: 0.0000 0.0000 0.0000  4 Ru 2.64
Os: 0.5000 0.5000 0.5000  4 Ru 2.64

Computed properties:
Spin magnetization in μB/atom: 0.000
Mass density in g/cm3: 14.494
N(E_F) in states/eV/cell: 2.638

(B)
A geometry-optimized HgOsRu structure. Source: the Alexandria database, functional PBE-GGA.

Cell: 2.8236 2.8236 7.0641 Å, 90.00 90.00 120.00°
Closest atoms and distances in Å follow each position.
Positions (direct):
Ru: 0.3333 0.6667 0.6439  3 Os 2.59, 6 Ru 2.82
Hg: 0.0000 0.0000 0.9973  6 Hg 2.82, 3 Ru 2.98, 3 Os 3.03
Os: 0.6667 0.3333 0.3588  3 Ru 2.59, 6 Os 2.82

Computed properties:
Spin magnetization in μB/atom: 0.000
Mass density in g/cm3: 16.746
N(E_F) in states/eV/cell: 2.606

So which one is most stable? That would be (B), about 522 meV/atom below the next structure.

(A)
A geometry-optimized Hg3OsS structure. Source: the Alexandria database, functional PBE-GGA.

Cell: 5.0914 5.0914 5.0914 Å, 90.00 90.00 90.00°
Closest atoms and distances in Å follow each position.
Positions (direct):
Hg: 0.0000 0.0000 0.5000  2 S 2.55
Hg: 0.0000 0.5000 0.0000  2 S 2.55
Os: 0.5000 0.5000 0.5000  12 Hg 3.60
S: 0.0000 0.0000 0.0000  6 Hg 2.55
Hg: 0.5000 0.0000 0.0000  2 S 2.55

Computed properties:
Spin magnetization in μB/atom: 0.558
Mass density in g/cm3: 10.368
N(E_F) in states/eV/cell: 5.997

(B)
A geometry-optimized Hg3OsS structure. Source: the Alexandria database, functional PBE-GGA.

Cell: 5.2751 5.2751 5.2751 Å, 90.00 90.00 90.00°
Closest atoms and distances in Å follow each position.
Positions (direct):
S: 0.5000 0.5000 0.5000  12 Hg 3.73
Os: 0.0000 0.0000 0.0000  6 Hg 2.64
Hg: 0.5000 0.0000 0.0000  2 Os 2.64
Hg: 0.0000 0.5000 0.0000  2 Os 2.64
Hg: 0.0000 0.0000 0.5000  2 Os 2.64

Computed properties:
Spin magnetization in μB/atom: 0.605
Mass density in g/cm3: 9.322
N(E_F) in states/eV/cell: 5.556

So which one is most stable? That would be (B), about 447 meV/atom below the next structure.

(A)
A geometry-optimized HgOs3S structure. Source: the Alexandria database, functional PBE-GGA.

Cell: 4.3883 4.3883 4.3883 Å, 90.00 90.00 90.00°
Closest atoms and distances in Å follow each position.
Positions (direct):
Hg: 0.5000 0.5000 0.5000  12 Os 3.10
Os: 0.0000 0.0000 0.5000  2 S 2.19
S: 0.0000 0.0000 0.0000  6 Os 2.19
Os: 0.5000 0.0000 0.0000  2 S 2.19
Os: 0.0000 0.5000 0.0000  2 S 2.19

Computed properties:
Spin magnetization in μB/atom: 0.000
Mass density in g/cm3: 15.785
N(E_F) in states/eV/cell: 4.324

(B)
A geometry-optimized HgOs3S structure. Source: the Alexandria database, functional PBE-GGA.

Cell: 5.0127 5.0127 5.0127 Å, 90.00 90.00 90.00°
Closest atoms and distances in Å follow each position.
Positions (direct):
S: 0.5000 0.5000 0.5000  12 Os 3.54
Os: 0.5000 0.0000 0.0000  2 Hg 2.51
Os: 0.0000 0.5000 0.0000  2 Hg 2.51
Hg: 0.0000 0.0000 0.0000  6 Os 2.51
Os: 0.0000 0.0000 0.5000  2 Hg 2.51

Computed properties:
Spin magnetization in μB/atom: 1.600
Mass density in g/cm3: 10.591
N(E_F) in states/eV/cell: 5.381

So which one is most stable? That would be (A), about 2269 meV/atom below the next structure.

(A)
A geometry-optimized HgOs2S structure. Source: the Alexandria database, functional PBE-GGA.

Cell: 4.4635 4.4635 4.4635 Å, 60.00 60.00 60.00°
Closest atoms and distances in Å follow each position.
Positions (direct):
Os: 0.2500 0.2500 0.2500  4 S 2.73, 4 Hg 2.73
S: 0.0000 0.0000 0.0000  8 Os 2.73
Os: 0.7500 0.7500 0.7500  4 S 2.73, 4 Hg 2.73
Hg: 0.5000 0.5000 0.5000  8 Os 2.73

Computed properties:
Spin magnetization in μB/atom: 0.000
Mass density in g/cm3: 16.191
N(E_F) in states/eV/cell: 3.655

(B)
A geometry-optimized HgOs2S structure. Source: the Alexandria database, functional PBE-GGA.

Cell: 6.9151 6.9151 5.6452 Å, 52.23 52.23 90.00°
Closest atoms and distances in Å follow each position.
Positions (direct):
Hg: 0.7500 0.2500 0.5000  2 S 2.82, 8 Os 2.93-2.98
S: 0.5000 0.5000 0.0000  4 Os 2.22
Os: 0.5479 0.1250 0.2500  2 S 2.22
Os: 0.2021 0.6250 0.2500  2 S 2.22
Os: 0.3750 0.4521 0.7500  2 S 2.22
Hg: 0.0000 0.0000 0.0000  2 S 2.82, 8 Os 2.93-2.98
Os: 0.8750 0.7979 0.7500  2 S 2.22
S: 0.2500 0.7500 0.5000  4 Os 2.22

Computed properties:
Spin magnetization in μB/atom: 0.000
Mass density in g/cm3: 15.094
N(E_F) in states/eV/cell: 2.730

So which one is most stable? That would be (B), about 429 meV/atom below the next structure.

(A)
A geometry-optimized SnHgOsS2 structure. Source: the Alexandria database, functional PBE-GGA.

Cell: 4.9921 5.2250 4.9921 Å, 90.00 90.00 90.00°
Closest atoms and distances in Å follow each position.
Positions (direct):
Sn: 0.5000 0.5000 0.5000  4 Os 3.53, 8 S 3.61
S: 0.0000 0.0000 0.5000  2 Hg 2.50
Os: 0.0000 0.5000 0.0000  2 Hg 2.61
S: 0.5000 0.0000 0.0000  2 Hg 2.50
Hg: 0.0000 0.0000 0.0000  4 S 2.50, 2 Os 2.61

Computed properties:
Spin magnetization in μB/atom: 0.611
Mass density in g/cm3: 7.316
N(E_F) in states/eV/cell: 3.816

(B)
A geometry-optimized SnHgOsS2 structure. Source: the Alexandria database, functional PBE-GGA.

Cell: 4.4820 5.9712 4.4820 Å, 90.00 90.00 90.00°
Closest atoms and distances in Å follow each position.
Positions (direct):
Os: 0.0000 0.0000 0.0000  4 S 2.24
S: 0.5000 0.0000 0.0000  2 Os 2.24
Sn: 0.0000 0.5000 0.0000  2 Os 2.99, 4 Hg 3.17
Hg: 0.5000 0.5000 0.5000  4 Sn 3.17
S: 0.0000 0.0000 0.5000  2 Os 2.24

Computed properties:
Spin magnetization in μB/atom: 0.000
Mass density in g/cm3: 7.942
N(E_F) in states/eV/cell: 3.250

So which one is most stable? That would be (B), about 1213 meV/atom below the next structure.

(A)
A geometry-optimized Sc3HgOs structure. Source: the Alexandria database, functional PBE-GGA.

Cell: 5.0314 5.0314 5.0314 Å, 90.00 90.00 90.00°
Closest atoms and distances in Å follow each position.
Positions (direct):
Hg: 0.5000 0.5000 0.5000  12 Sc 3.56
Sc: 0.0000 0.0000 0.5000  2 Os 2.52
Os: 0.0000 0.0000 0.0000  6 Sc 2.52
Sc: 0.5000 0.0000 0.0000  2 Os 2.52
Sc: 0.0000 0.5000 0.0000  2 Os 2.52

Computed properties:
Spin magnetization in μB/atom: 0.000
Mass density in g/cm3: 6.854
N(E_F) in states/eV/cell: 3.488

(B)
A geometry-optimized Sc3HgOs structure. Source: the Alexandria database, functional PBE-GGA.

Cell: 5.0863 5.0863 5.0863 Å, 90.00 90.00 90.00°
Closest atoms and distances in Å follow each position.
Positions (direct):
Hg: 0.0000 0.0000 0.0000  6 Sc 2.54
Sc: 0.5000 0.0000 0.0000  2 Hg 2.54
Sc: 0.0000 0.0000 0.5000  2 Hg 2.54
Os: 0.5000 0.5000 0.5000  12 Sc 3.60
Sc: 0.0000 0.5000 0.0000  2 Hg 2.54

Computed properties:
Spin magnetization in μB/atom: 0.000
Mass density in g/cm3: 6.634
N(E_F) in states/eV/cell: 6.481

So which one is most stable? That would be (A), about 1167 meV/atom below the next structure.

(A)
A geometry-optimized ScHgOs structure. Source: the Alexandria database, functional PBE-GGA.

Cell: 4.5289 4.5289 4.5289 Å, 60.00 60.00 60.00°
Closest atoms and distances in Å follow each position.
Positions (direct):
Sc: 0.0000 0.0000 0.0000  4 Os 2.77
Os: 0.7500 0.7500 0.7500  4 Hg 2.77, 4 Sc 2.77
Hg: 0.5000 0.5000 0.5000  4 Os 2.77

Computed properties:
Spin magnetization in μB/atom: 0.070
Mass density in g/cm3: 11.016
N(E_F) in states/eV/cell: 6.035

(B)
A geometry-optimized ScHgOs structure. Source: the Alexandria database, functional PBE-GGA.

Cell: 4.7118 4.7118 2.8368 Å, 90.00 90.00 120.00°
Closest atoms and distances in Å follow each position.
Positions (direct):
Os: 0.6667 0.3333 0.3200  3 Hg 2.83, 2 Os 2.84, 3 Sc 2.87
Hg: 0.0000 0.0000 0.0431  3 Os 2.83, 2 Hg 2.84, 3 Sc 2.95
Sc: 0.3333 0.6667 0.6369  2 Sc 2.84, 3 Os 2.87, 3 Hg 2.95

Computed properties:
Spin magnetization in μB/atom: 0.001
Mass density in g/cm3: 13.267
N(E_F) in states/eV/cell: 3.000

So which one is most stable? That would be (B), about 240 meV/atom below the next structure.

(A)
A geometry-optimized ScHgOs structure. Source: the Alexandria database, functional PBE-GGA.

Cell: 5.3707 5.3706 3.3871 Å, 71.62 71.62 36.76°
Closest atoms and distances in Å follow each position.
Positions (direct):
Os: 0.3221 0.3221 0.6779  4 Sc 2.74, 4 Hg 2.92
Sc: 0.6827 0.6827 0.3173  4 Os 2.74, 5 Hg 3.00
Hg: 0.9952 0.9952 0.0048  5 Os 2.92-3.14, 5 Sc 3.00

Computed properties:
Spin magnetization in μB/atom: 0.000
Mass density in g/cm3: 13.121
N(E_F) in states/eV/cell: 1.746

(B)
A geometry-optimized ScHgOs structure. Source: the Alexandria database, functional PBE-GGA.

Cell: 4.4934 4.4934 4.4934 Å, 60.00 60.00 60.00°
Closest atoms and distances in Å follow each position.
Positions (direct):
Sc: 0.7500 0.7500 0.7500  4 Hg 2.75, 4 Os 2.75
Os: 0.5000 0.5000 0.5000  4 Sc 2.75
Hg: 0.0000 0.0000 0.0000  4 Sc 2.75

Computed properties:
Spin magnetization in μB/atom: 0.000
Mass density in g/cm3: 11.280
N(E_F) in states/eV/cell: 2.858

So which one is most stable? That would be (A), about 616 meV/atom below the next structure.

(A)
A geometry-optimized TmScHgOs structure. Source: the Alexandria database, functional PBE-GGA.

Cell: 4.8479 4.8479 4.8479 Å, 60.00 60.00 60.00°
Closest atoms and distances in Å follow each position.
Positions (direct):
Sc: 0.2500 0.2500 0.2500  4 Os 2.97, 4 Hg 2.97
Tm: 0.7500 0.7500 0.7500  4 Hg 2.97, 4 Os 2.97
Os: 0.0000 0.0000 0.0000  4 Tm 2.97, 4 Sc 2.97
Hg: 0.5000 0.5000 0.5000  4 Sc 2.97, 4 Tm 2.97

Computed properties:
Spin magnetization in μB/atom: 0.000
Mass density in g/cm3: 12.464
N(E_F) in states/eV/cell: 2.749

(B)
A geometry-optimized TmScHgOs structure. Source: the Alexandria database, functional PBE-GGA.

Cell: 3.3488 3.3488 7.3240 Å, 90.00 90.00 90.00°
Closest atoms and distances in Å follow each position.
Positions (direct):
Hg: 0.0000 0.0000 0.0871  4 Sc 3.07, 4 Tm 3.23, 4 Hg 3.35
Tm: 0.5000 0.5000 0.7876  4 Os 2.91, 1 Sc 3.18, 4 Hg 3.23
Os: 0.0000 0.0000 0.5564  4 Sc 2.80, 4 Tm 2.91
Sc: 0.5000 0.5000 0.3536  4 Os 2.80, 4 Hg 3.07

Computed properties:
Spin magnetization in μB/atom: 0.000
Mass density in g/cm3: 12.226
N(E_F) in states/eV/cell: 3.353

So which one is most stable? That would be (B), about 148 meV/atom below the next structure.

(A)
A geometry-optimized ZrScHgOs structure. Source: the Alexandria database, functional PBE-GGA.

Cell: 4.7786 4.7786 4.7786 Å, 60.00 60.00 60.00°
Closest atoms and distances in Å follow each position.
Positions (direct):
Zr: 0.5000 0.5000 0.5000  4 Os 2.93, 4 Hg 2.93
Os: 0.7500 0.7500 0.7500  4 Zr 2.93, 4 Sc 2.93
Hg: 0.2500 0.2500 0.2500  4 Zr 2.93, 4 Sc 2.93
Sc: 0.0000 0.0000 0.0000  4 Os 2.93, 4 Hg 2.93

Computed properties:
Spin magnetization in μB/atom: 0.000
Mass density in g/cm3: 11.341
N(E_F) in states/eV/cell: 3.176

(B)
A geometry-optimized ZrScHgOs structure. Source: the Alexandria database, functional PBE-GGA.

Cell: 3.2588 3.2588 7.3772 Å, 90.00 90.00 90.00°
Closest atoms and distances in Å follow each position.
Positions (direct):
Zr: 0.5000 0.5000 0.7867  4 Os 2.80
Hg: 0.0000 0.0000 0.0789  4 Sc 3.05, 4 Zr 3.16, 4 Hg 3.26
Sc: 0.5000 0.5000 0.3493  4 Os 2.82, 4 Hg 3.05
Os: 0.0000 0.0000 0.5699  4 Zr 2.80, 4 Sc 2.82

Computed properties:
Spin magnetization in μB/atom: 0.000
Mass density in g/cm3: 11.170
N(E_F) in states/eV/cell: 1.906

So which one is most stable? That would be (B), about 150 meV/atom below the next structure.

(A)
A geometry-optimized HgOs2Se2 structure. Source: the Alexandria database, functional PBE-GGA.

Cell: 4.1139 4.1139 6.2820 Å, 70.89 70.89 90.00°
Closest atoms and distances in Å follow each position.
Positions (direct):
Os: 0.3887 0.3887 0.2226  1 Os 2.48, 4 Se 2.57
Se: 0.7500 0.2500 0.5000  4 Os 2.57
Hg: 0.0000 0.0000 0.0000  8 Os 3.16, 8 Se 3.46
Os: 0.6113 0.6113 0.7774  1 Os 2.48, 4 Se 2.57
Se: 0.2500 0.7500 0.5000  4 Os 2.57

Computed properties:
Spin magnetization in μB/atom: 0.000
Mass density in g/cm3: 13.022
N(E_F) in states/eV/cell: 3.921

(B)
A geometry-optimized HgOs2Se2 structure. Source: the Alexandria database, functional PBE-GGA.

Cell: 7.6931 7.6931 3.0123 Å, 90.00 90.00 90.00°
Closest atoms and distances in Å follow each position.
Positions (direct):
Se: 0.3577 0.1423 0.5000  6 Os 2.60-2.87
Se: 0.8577 0.3577 0.5000  6 Os 2.60-2.87
Hg: 0.0000 0.0000 0.0000  4 Os 3.00, 2 Hg 3.01, 8 Se 3.32
Se: 0.1423 0.6423 0.5000  6 Os 2.60-2.87
Os: 0.8673 0.6327 0.0000  6 Se 2.60-2.87, 1 Os 2.89
Os: 0.3673 0.8673 0.0000  6 Se 2.60-2.87, 1 Os 2.89
Se: 0.6423 0.8577 0.5000  6 Os 2.60-2.87
Os: 0.6327 0.1327 0.0000  6 Se 2.60-2.87, 1 Os 2.89
Os: 0.1327 0.3673 0.0000  6 Se 2.60-2.87, 1 Os 2.89
Hg: 0.5000 0.5000 0.0000  4 Os 3.00, 2 Hg 3.01, 8 Se 3.32

Computed properties:
Spin magnetization in μB/atom: 0.000
Mass density in g/cm3: 13.766
N(E_F) in states/eV/cell: 10.015

So which one is most stable? That would be (A), about 41 meV/atom below the next structure.